[1]
# CaSiGeS (GGA-PBE, optimized geometry)
# Theoretical density, g cm⁻³: 3.0
# Formation energy (no corrections), eV per atom: -0.66
# Excess energy over the best structure of this formula in the dataset, meV per atom: 118
# M_tot, μB per formula unit: 0.00
data_CaSiGeS
_chemical_formula_sum 'Ca3 Si3 Ge3 S3'
_space_group_name_H-M_alt 'R 3 m'
_space_group_IT_number 160
_space_group_name_Hall 'R 3 -2"'
_cell_length_a 3.9986
_cell_length_b 3.9986
_cell_length_c 20.9215
_cell_angle_alpha 90.00
_cell_angle_beta 90.00
_cell_angle_gamma 120.00
loop_
_atom_site_label
_atom_site_type_symbol
_atom_site_fract_x
_atom_site_fract_y
_atom_site_fract_z
Ca1 Ca 0.0000 0.0000 0.0000
Si1 Si 0.0000 0.0000 0.2210
Ge1 Ge 0.0000 0.0000 0.5128
S1 S 0.0000 0.0000 0.4009

---

[2]
# CaSiGeS (GGA-PBE, optimized geometry)
# Theoretical density, g cm⁻³: 3.4
# Formation energy (no corrections), eV per atom: -0.63
# Excess energy over the best structure of this formula in the dataset, meV per atom: 147
# M_tot, μB per formula unit: 0.00
data_CaSiGeS
_chemical_formula_sum 'Ca2 Si2 Ge2 S2'
_space_group_name_H-M_alt 'C 1 m 1'
_space_group_IT_number 8
_cell_length_a 5.133
_cell_length_b 5.014
_cell_length_c 7.023
_cell_angle_alpha 90.00
_cell_angle_beta 110.16
_cell_angle_gamma 90.00
loop_
_space_group_symop_operation_xyz
'x,y,z'
'x,-y,z'
'x+1/2,y+1/2,z'
'x+1/2,-y+1/2,z'
loop_
_atom_site_label
_atom_site_type_symbol
_atom_site_fract_x
_atom_site_fract_y
_atom_site_fract_z
Ca1 Ca 0.000 0.000 0.000
Si1 Si 0.244 0.500 0.512
Ge1 Ge 0.304 0.000 0.634
S1 S 0.083 0.500 0.175

---

[3]
# CaSiGeS (GGA-PBE, optimized geometry)
# Theoretical density, g cm⁻³: 3.3
# Formation energy (no corrections), eV per atom: -0.64
# Excess energy over the best structure of this formula in the dataset, meV per atom: 138
# M_tot, μB per formula unit: 0.00
data_CaSiGeS
_chemical_formula_sum 'Ca1 Si1 Ge1 S1'
_space_group_name_H-M_alt 'P 1 m 1'
_space_group_IT_number 6
_cell_length_a 3.558
_cell_length_b 3.811
_cell_length_c 6.708
_cell_angle_alpha 90.00
_cell_angle_beta 104.64
_cell_angle_gamma 90.00
loop_
_space_group_symop_operation_xyz
'x,y,z'
'x,-y,z'
loop_
_atom_site_label
_atom_site_type_symbol
_atom_site_fract_x
_atom_site_fract_y
_atom_site_fract_z
Ca1 Ca 0.000 0.000 0.000
Si1 Si 0.306 0.500 0.521
Ge1 Ge 0.702 0.000 0.407
S1 S 0.436 0.500 0.864

---

[4]
# CaSiGeS (GGA-PBE, optimized geometry)
# Theoretical density, g cm⁻³: 3.0
# Formation energy (no corrections), eV per atom: -0.70
# Excess energy over the best structure of this formula in the dataset, meV per atom: 83
# M_tot, μB per formula unit: 0.00
data_CaSiGeS
_chemical_formula_sum 'Ca1 Si1 Ge1 S1'
_space_group_name_H-M_alt 'P 3 m 1'
_space_group_IT_number 156
_cell_length_a 4.0218
_cell_length_b 4.0218
_cell_length_c 6.8560
_cell_angle_alpha 90.00
_cell_angle_beta 90.00
_cell_angle_gamma 120.00
loop_
_space_group_symop_operation_xyz
'x,y,z'
'-y,x-y,z'
'-x+y,-x,z'
'-y,-x,z'
'-x+y,y,z'
'x,x-y,z'
loop_
_atom_site_label
_atom_site_type_symbol
_atom_site_fract_x
_atom_site_fract_y
_atom_site_fract_z
Ca1 Ca 0.0000 0.0000 0.0000
Si1 Si 0.6667 0.3333 0.6660
Ge1 Ge 0.3333 0.6667 0.5406
S1 S 0.3333 0.6667 0.2000

---

[5]
# CaSiGeS (GGA-PBE, optimized geometry)
# Theoretical density, g cm⁻³: 3.2
# Formation energy (no corrections), eV per atom: -0.55
# Excess energy over the best structure of this formula in the dataset, meV per atom: 228
# M_tot, μB per formula unit: 0.00
data_CaSiGeS
_chemical_formula_sum 'Ca2 Si2 Ge2 S2'
_space_group_name_H-M_alt 'C 1 m 1'
_space_group_IT_number 8
_cell_length_a 6.628
_cell_length_b 4.915
_cell_length_c 5.639
_cell_angle_alpha 90.00
_cell_angle_beta 100.80
_cell_angle_gamma 90.00
loop_
_space_group_symop_operation_xyz
'x,y,z'
'x,-y,z'
'x+1/2,y+1/2,z'
'x+1/2,-y+1/2,z'
loop_
_atom_site_label
_atom_site_type_symbol
_atom_site_fract_x
_atom_site_fract_y
_atom_site_fract_z
Ca1 Ca 0.000 0.000 0.000
Si1 Si 0.382 0.000 0.429
Ge1 Ge 0.257 0.500 0.455
S1 S 0.368 0.000 0.824

---

[6]
# CaSiGeS (GGA-PBE, optimized geometry)
# Theoretical density, g cm⁻³: 2.9
# Formation energy (no corrections), eV per atom: -0.49
# Excess energy over the best structure of this formula in the dataset, meV per atom: 289
# M_tot, μB per formula unit: 0.00
data_CaSiGeS
_chemical_formula_sum 'Ca2 Si2 Ge2 S2'
_space_group_name_H-M_alt 'C 1 m 1'
_space_group_IT_number 8
_cell_length_a 7.551
_cell_length_b 4.402
_cell_length_c 6.463
_cell_angle_alpha 90.00
_cell_angle_beta 112.53
_cell_angle_gamma 90.00
loop_
_space_group_symop_operation_xyz
'x,y,z'
'x,-y,z'
'x+1/2,y+1/2,z'
'x+1/2,-y+1/2,z'
loop_
_atom_site_label
_atom_site_type_symbol
_atom_site_fract_x
_atom_site_fract_y
_atom_site_fract_z
Ca1 Ca 0.000 0.000 0.000
Si1 Si 0.322 0.500 0.470
Ge1 Ge 0.443 0.000 0.333
S1 S 0.305 0.000 0.909

---

[7]
# SrCaGeS4 (GGA-PBE, optimized geometry)
# Theoretical density, g cm⁻³: 3.2
# Formation energy (no corrections), eV per atom: -1.37
# M_tot, μB per formula unit: 0.00
data_SrCaGeS4
_chemical_formula_sum 'Sr2 Ca2 Ge2 S8'
_space_group_name_H-M_alt 'P 1 21/m 1'
_space_group_IT_number 11
_cell_length_a 6.670
_cell_length_b 6.741
_cell_length_c 8.072
_cell_angle_alpha 90.00
_cell_angle_beta 107.38
_cell_angle_gamma 90.00
loop_
_space_group_symop_operation_xyz
'x,y,z'
'-x,-y,-z'
'-x,y+1/2,-z'
'x,-y+1/2,z'
loop_
_atom_site_label
_atom_site_type_symbol
_atom_site_fract_x
_atom_site_fract_y
_atom_site_fract_z
Sr1 Sr 0.247 0.250 0.438
Ca1 Ca 0.273 0.250 0.945
Ge1 Ge 0.265 0.750 0.186
S1 S 0.072 0.750 0.913
S2 S 0.073 0.750 0.369
S3 S 0.492 0.003 0.243

---

[8]
# CaTiGe2S (GGA-PBE, optimized geometry)
# Theoretical density, g cm⁻³: 3.8
# Formation energy (no corrections), eV per atom: -0.03
# M_tot, μB per formula unit: 0.00
data_CaTiGe2S
_chemical_formula_sum 'Ca1 Ti1 Ge2 S1'
_space_group_name_H-M_alt 'P 4/m m m'
_space_group_IT_number 123
_space_group_name_Hall '-P 4 2'
_cell_length_a 5.129
_cell_length_b 5.129
_cell_length_c 4.452
_cell_angle_alpha 90.00
_cell_angle_beta 90.00
_cell_angle_gamma 90.00
loop_
_atom_site_label
_atom_site_type_symbol
_atom_site_fract_x
_atom_site_fract_y
_atom_site_fract_z
Ca1 Ca 0.000 0.000 0.000
Ti1 Ti 0.500 0.500 0.000
Ge1 Ge 0.000 0.500 0.500
S1 S 0.500 0.500 0.500

---

- Which formula does entry 2 have?
  CaSiGeS